# 1
# K3Ac3PuSe8 PBE-GGA relaxed
data_K3Ac3PuSe8
_chemical_formula_sum 'K9 Ac9 Pu3 Se24'
_cell_length_a 9.0190
_cell_length_b 9.0190
_cell_length_c 23.3272
_cell_angle_alpha 90.00
_cell_angle_beta 90.00
_cell_angle_gamma 120.00
_symmetry_space_group_name_H-M 'R -3 m'
_symmetry_Int_Tables_number 166
_symmetry_space_group_name_Hall '-R 3 2"'
loop_
_atom_site_label
_atom_site_fract_x
_atom_site_fract_y
_atom_site_fract_z
K1 0.0000 0.5000 0.0000
Ac1 0.0000 0.5000 0.5000
Pu1 0.0000 0.0000 0.5000
Se1 0.0000 0.0000 0.2397
Se2 0.0251 0.5125 0.2340
# **Density**: 5.1 Mg/m³
# **Final energy**: -82.999 eV/f.u.
# **Uncorrected formation energy**: -1678 meV/atom
# **Crystal system**: trigonal

=====

# 2
# Tb2HgB2Rh5 PBE-GGA relaxed
data_Tb2HgB2Rh5
_chemical_formula_sum 'Tb4 Hg2 B4 Rh10'
_cell_length_a 9.702
_cell_length_b 9.702
_cell_length_c 3.240
_cell_angle_alpha 90.00
_cell_angle_beta 90.00
_cell_angle_gamma 90.00
_symmetry_space_group_name_H-M 'P 4/m b m'
_symmetry_Int_Tables_number 127
_symmetry_space_group_name_Hall '-P 4 2ab'
loop_
_atom_site_label
_atom_site_fract_x
_atom_site_fract_y
_atom_site_fract_z
Tb1 0.176 0.324 0.000
Hg1 0.000 0.000 0.000
B1 0.121 0.621 0.000
Rh1 0.000 0.500 0.500
Rh2 0.070 0.771 0.500
# **Density**: 11.5 Mg/m³
# **Final energy**: -66.420 eV/f.u.
# **Calculated formation energy**: -0.67 eV/atom
# **Crystal system**: tetragonal

=====

# 3
# Tl2InIrO6 PBE-GGA relaxed
data_Tl2InIrO6
_chemical_formula_sum 'Tl2 In1 Ir1 O6'
_cell_length_a 5.940
_cell_length_b 5.940
_cell_length_c 3.974
_cell_angle_alpha 90.00
_cell_angle_beta 90.00
_cell_angle_gamma 90.00
_symmetry_space_group_name_H-M 'P 4/m m m'
_symmetry_Int_Tables_number 123
_symmetry_space_group_name_Hall '-P 4 2'
loop_
_atom_site_label
_atom_site_fract_x
_atom_site_fract_y
_atom_site_fract_z
Tl1 0.000 0.500 0.000
In1 0.000 0.000 0.500
Ir1 0.500 0.500 0.500
O1 0.000 0.000 0.000
O2 0.271 0.271 0.500
O3 0.500 0.500 0.000
# **Density**: 9.6 Mg/m³
# **Final energy**: -53.358 eV/f.u.
# **Uncorrected formation energy**: -728 meV/atom
# **Crystal system**: tetragonal

=====

# 4
# TiSbI2N PBE-GGA relaxed
data_TiSbI2N
_chemical_formula_sum 'Ti1 Sb1 I2 N1'
_cell_length_a 5.288
_cell_length_b 5.288
_cell_length_c 5.558
_cell_angle_alpha 90.00
_cell_angle_beta 90.00
_cell_angle_gamma 90.00
_symmetry_space_group_name_H-M 'P 4/m m m'
_symmetry_Int_Tables_number 123
_symmetry_space_group_name_Hall '-P 4 2'
loop_
_atom_site_label
_atom_site_fract_x
_atom_site_fract_y
_atom_site_fract_z
Ti1 0.000 0.000 0.000
Sb1 0.000 0.000 0.500
I1 0.000 0.500 0.000
N1 0.500 0.500 0.500
# **Density**: 4.7 Mg/m³
# **Polymorph energy (0 for the lowest one)**: 1095 meV per atom
# **Final energy**: -17.664 eV/f.u.
# **Uncorrected formation energy**: 1156 meV/atom
# **Crystal system**: tetragonal

=====

# 5
# In8Bi3 PBE-GGA relaxed
data_In8Bi3
_chemical_formula_sum 'In16 Bi6'
_cell_length_a 10.754
_cell_length_b 4.822
_cell_length_c 12.951
_cell_angle_alpha 90.00
_cell_angle_beta 106.85
_cell_angle_gamma 90.00
_symmetry_space_group_name_H-M 'C 1 2/m 1'
_symmetry_Int_Tables_number 12
_symmetry_space_group_name_Hall '-C 2y'
loop_
_atom_site_label
_atom_site_fract_x
_atom_site_fract_y
_atom_site_fract_z
In1 0.052 0.000 0.317
In2 0.131 0.000 0.951
In3 0.172 0.500 0.767
In4 0.228 0.000 0.591
Bi1 0.000 0.500 0.500
Bi2 0.105 0.500 0.136
# **Density**: 8.0 Mg/m³
# **Final energy**: -33.328 eV/f.u.
# **Calculated formation energy**: 0.02 eV/atom
# **Crystal system**: monoclinic

=====

# 6
# AcMg2SiN PBE-GGA relaxed
data_AcMg2SiN
_chemical_formula_sum 'Ac4 Mg8 Si4 N4'
_cell_length_a 4.066
_cell_length_b 12.545
_cell_length_c 7.775
_cell_angle_alpha 90.00
_cell_angle_beta 90.00
_cell_angle_gamma 90.00
_symmetry_space_group_name_H-M 'C m c m'
_symmetry_Int_Tables_number 63
_symmetry_space_group_name_Hall '-C 2c 2'
loop_
_atom_site_label
_atom_site_fract_x
_atom_site_fract_y
_atom_site_fract_z
Ac1 0.000 0.040 0.250
Mg1 0.000 0.339 0.056
Si1 0.000 0.233 0.750
N1 0.000 0.500 0.000
# **Density**: 5.3 Mg/m³
# **Final energy**: -24.131 eV/f.u.
# **Uncorrected formation energy**: -617 meV/atom
# **Crystal system**: orthorhombic

=====

# 7
# Dy7Tm3Sc PBE-GGA relaxed
data_Dy7Tm3Sc
_chemical_formula_sum 'Dy7 Tm3 Sc1'
_cell_length_a 6.753
_cell_length_b 5.431
_cell_length_c 9.730
_cell_angle_alpha 90.00
_cell_angle_beta 105.51
_cell_angle_gamma 90.00
_symmetry_space_group_name_H-M 'P 1 2/m 1'
_symmetry_Int_Tables_number 10
_symmetry_space_group_name_Hall '-P 2y'
loop_
_atom_site_label
_atom_site_fract_x
_atom_site_fract_y
_atom_site_fract_z
Dy1 0.000 0.000 0.000
Dy2 0.159 0.500 0.287
Dy3 0.316 0.500 0.628
Dy4 0.450 0.000 0.827
Tm1 0.000 0.000 0.500
Tm2 0.269 0.500 0.983
Sc1 0.500 0.000 0.500
# **Density**: 8.2 Mg/m³
# **Polymorph energy (0 for the lowest one)**: 0 meV per atom
# **Final energy**: -50.280 eV/f.u.
# **Calculated formation energy**: 0.15 eV/atom
# **Crystal system**: monoclinic

=====

# 8
# NpSi2Ir2 PBE-GGA relaxed
data_NpSi2Ir2
_chemical_formula_sum 'Np2 Si4 Ir4'
_cell_length_a 4.129
_cell_length_b 4.129
_cell_length_c 9.895
_cell_angle_alpha 90.00
_cell_angle_beta 90.00
_cell_angle_gamma 90.00
_symmetry_space_group_name_H-M 'P 4/n m m'
_symmetry_Int_Tables_number 129
loop_
_symmetry_equiv_pos_as_xyz
'x,y,z'
'-x,-y,-z'
'-y+1/2,x,z'
'y+1/2,-x,-z'
'-x+1/2,-y+1/2,z'
'x+1/2,y+1/2,-z'
'y,-x+1/2,z'
'-y,x+1/2,-z'
'x+1/2,-y,-z'
'-x+1/2,y,z'
'-y,-x,-z'
'y,x,z'
'-x,y+1/2,-z'
'x,-y+1/2,z'
'y+1/2,x+1/2,-z'
'-y+1/2,-x+1/2,z'
loop_
_atom_site_label
_atom_site_fract_x
_atom_site_fract_y
_atom_site_fract_z
Np1 0.250 0.250 0.242
Si1 0.250 0.250 0.631
Si2 0.250 0.750 0.000
Ir1 0.250 0.250 0.871
Ir2 0.250 0.750 0.500
# **Density**: 13.3 Mg/m³
# **Final energy**: -45.195 eV/f.u.
# **Uncorrected formation energy**: -737 meV/atom
# **Crystal system**: tetragonal

=====

# 9
# LiBe3 PBE-GGA relaxed
data_LiBe3
_chemical_formula_sum 'Li2 Be6'
_cell_length_a 4.8240
_cell_length_b 4.8240
_cell_length_c 3.7077
_cell_angle_alpha 90.00
_cell_angle_beta 90.00
_cell_angle_gamma 120.00
_symmetry_space_group_name_H-M 'P 63/m m c'
_symmetry_Int_Tables_number 194
_symmetry_space_group_name_Hall '-P 6c 2c'
loop_
_atom_site_label
_atom_site_fract_x
_atom_site_fract_y
_atom_site_fract_z
Li1 0.3333 0.6667 0.2500
Be1 0.1564 0.3127 0.7500
# **Density**: 1.5 Mg/m³
# **Polymorph energy (0 for the lowest one)**: 151 meV per atom
# **Final energy**: -12.370 eV/f.u.
# **Calculated formation energy**: 0.18 eV/atom
# **Crystal system**: hexagonal

=====

# 10
# KBa2OsO5 PBE-GGA relaxed
data_KBa2OsO5
_chemical_formula_sum 'K2 Ba4 Os2 O10'
_cell_length_a 3.935
_cell_length_b 6.494
_cell_length_c 12.247
_cell_angle_alpha 90.00
_cell_angle_beta 90.00
_cell_angle_gamma 90.00
_symmetry_space_group_name_H-M 'I m m m'
_symmetry_Int_Tables_number 71
_symmetry_space_group_name_Hall '-I 2 2'
loop_
_atom_site_label
_atom_site_fract_x
_atom_site_fract_y
_atom_site_fract_z
K1 0.000 0.000 0.000
Ba1 0.000 0.500 0.224
Os1 0.000 0.000 0.500
O1 0.000 0.214 0.380
O2 0.000 0.500 0.000
# **Density**: 6.2 Mg/m³
# **Final energy**: -57.541 eV/f.u.
# **Uncorrected formation energy**: -1842 meV/atom
# **Crystal system**: orthorhombic

=====

# 11
# RbCaFe4As4 PBE-GGA relaxed
data_RbCaFe4As4
_chemical_formula_sum 'Rb1 Ca1 Fe4 As4'
_cell_length_a 3.960
_cell_length_b 3.960
_cell_length_c 12.084
_cell_angle_alpha 90.00
_cell_angle_beta 90.00
_cell_angle_gamma 90.00
_symmetry_space_group_name_H-M 'P 4/m m m'
_symmetry_Int_Tables_number 123
_symmetry_space_group_name_Hall '-P 4 2'
loop_
_atom_site_label
_atom_site_fract_x
_atom_site_fract_y
_atom_site_fract_z
Rb1 0.000 0.000 0.000
Ca1 0.500 0.500 0.500
Fe1 0.000 0.500 0.285
As1 0.000 0.000 0.381
As2 0.500 0.500 0.185
# **Density**: 5.7 Mg/m³
# **Final energy**: -59.428 eV/f.u.
# **Calculated formation energy**: -0.40 eV/atom
# **Crystal system**: tetragonal